# TmHg2Pd | Alexandria via LeMat-Bulk | PBE | relaxed
data_TmHg2Pd
_chemical_formula_sum 'Tm1 Hg2 Pd1'
_cell_length_a 4.285
_cell_length_b 4.285
_cell_length_c 4.679
_cell_angle_alpha 90.00
_cell_angle_beta 90.00
_cell_angle_gamma 90.00
_symmetry_space_group_name_H-M 'P 4/m m m'
_symmetry_Int_Tables_number 123
_symmetry_space_group_name_Hall '-P 4 2'
loop_
_atom_site_label
_atom_site_fract_x
_atom_site_fract_y
_atom_site_fract_z
_atom_site_occupancy
Tm1 0.000 0.000 0.000 1
Hg1 0.000 0.500 0.500 1
Pd1 0.500 0.500 0.000 1
# - energy of formation (meV per atom) = -397
# - DFT total energy (eV per cell) = -11.857
# - DOS(E_F) (states/eV per cell) = 2.26

---

# Tm3Hg3Pd2 | Alexandria via LeMat-Bulk | PBE | relaxed
data_Tm3Hg3Pd2
_chemical_formula_sum 'Tm3 Hg3 Pd2'
_cell_length_a 7.5465
_cell_length_b 7.5465
_cell_length_c 3.6361
_cell_angle_alpha 90.00
_cell_angle_beta 90.00
_cell_angle_gamma 120.00
_symmetry_space_group_name_H-M 'P -6 2 m'
_symmetry_Int_Tables_number 189
_symmetry_space_group_name_Hall 'P -6 -2'
loop_
_atom_site_label
_atom_site_fract_x
_atom_site_fract_y
_atom_site_fract_z
_atom_site_occupancy
Tm1 0.0000 0.5882 0.0000 1
Hg1 0.0000 0.2359 0.5000 1
Pd1 0.3333 0.6667 0.5000 1
# - energy of formation (meV per atom) = -689
# - DFT total energy (eV per cell) = -30.217
# - DOS(E_F) (states/eV per cell) = 3.93

---

# TmHg2Pd | Alexandria via LeMat-Bulk | PBE | relaxed
data_TmHg2Pd
_chemical_formula_sum 'Tm4 Hg8 Pd4'
_cell_length_a 6.928
_cell_length_b 6.928
_cell_length_c 6.928
_cell_angle_alpha 90.00
_cell_angle_beta 90.00
_cell_angle_gamma 90.00
_symmetry_space_group_name_H-M 'F m -3 m'
_symmetry_Int_Tables_number 225
_symmetry_space_group_name_Hall '-F 4 2 3'
loop_
_atom_site_label
_atom_site_fract_x
_atom_site_fract_y
_atom_site_fract_z
_atom_site_occupancy
Tm1 0.000 0.000 0.000 1
Hg1 0.250 0.250 0.250 1
Pd1 0.000 0.000 0.500 1
# - energy of formation (meV per atom) = -440
# - DFT total energy (eV per cell) = -48.118
# - DOS(E_F) (states/eV per cell) = 13.27

---

# TmHg3Pd | Alexandria via LeMat-Bulk | PBE | relaxed
data_TmHg3Pd
_chemical_formula_sum 'Tm2 Hg6 Pd2'
_cell_length_a 3.560
_cell_length_b 10.039
_cell_length_c 7.153
_cell_angle_alpha 90.00
_cell_angle_beta 104.35
_cell_angle_gamma 90.00
_symmetry_space_group_name_H-M 'P 1 21/m 1'
_symmetry_Int_Tables_number 11
loop_
_symmetry_equiv_pos_as_xyz
'x,y,z'
'-x,-y,-z'
'-x,y+1/2,-z'
'x,-y+1/2,z'
loop_
_atom_site_label
_atom_site_fract_x
_atom_site_fract_y
_atom_site_fract_z
_atom_site_occupancy
Tm1 0.017 0.250 0.040 1
Hg1 0.132 0.515 0.258 1
Hg2 0.300 0.750 0.596 1
Pd1 0.365 0.250 0.735 1
# - energy of formation (meV per atom) = -245
# - DFT total energy (eV per cell) = -23.594
# - DOS(E_F) (states/eV per cell) = 4.97

---

# TmHgPd | Alexandria via LeMat-Bulk | PBE | relaxed
data_TmHgPd
_chemical_formula_sum 'Tm2 Hg2 Pd2'
_cell_length_a 3.672
_cell_length_b 3.672
_cell_length_c 9.223
_cell_angle_alpha 90.00
_cell_angle_beta 90.00
_cell_angle_gamma 90.00
_symmetry_space_group_name_H-M 'I 4 m m'
_symmetry_Int_Tables_number 107
_symmetry_space_group_name_Hall 'I 4 -2'
loop_
_atom_site_label
_atom_site_fract_x
_atom_site_fract_y
_atom_site_fract_z
_atom_site_occupancy
Tm1 0.000 0.000 0.000 1
Hg1 0.000 0.000 0.677 1
Pd1 0.000 0.000 0.347 1
# - energy of formation (meV per atom) = -709
# - DFT total energy (eV per cell) = -24.188
# - DOS(E_F) (states/eV per cell) = 2.08

---

# TmHg6Pd | Alexandria via LeMat-Bulk | PBE | relaxed
data_TmHg6Pd
_chemical_formula_sum 'Tm3 Hg18 Pd3'
_cell_length_a 8.8028
_cell_length_b 8.8028
_cell_length_c 9.5588
_cell_angle_alpha 90.00
_cell_angle_beta 90.00
_cell_angle_gamma 120.00
_symmetry_space_group_name_H-M 'R -3 m'
_symmetry_Int_Tables_number 166
_symmetry_space_group_name_Hall '-R 3 2"'
loop_
_atom_site_label
_atom_site_fract_x
_atom_site_fract_y
_atom_site_fract_z
_atom_site_occupancy
Tm1 0.0000 0.0000 0.0000 1
Hg1 0.0756 0.5378 0.3601 1
Pd1 0.0000 0.0000 0.5000 1
# - energy of formation (meV per atom) = -69
# - DFT total energy (eV per cell) = -36.078
# - DOS(E_F) (states/eV per cell) = 12.63